First-principles (PBE) data for a relaxed TaTiMnMo crystal, as listed in Alexandria.

Geometry as POSCAR:
```
TaTiMnMo
1.0
0.000 3.119 3.119
3.119 0.000 3.119
3.119 3.119 0.000
Ta Ti Mn Mo
1 1 1 1
direct
0.000 0.000 0.000
0.500 0.500 0.500
0.250 0.250 0.250
0.750 0.750 0.750
```

Energy above the lowest structure with this stoichiometry in eV/atom: 0.006
Energy of formation in eV per atom: -0.16
Space group: F-43m
Volume in Å³ per atom: 15.17

First-principles (PBE) data for a relaxed CaCoH3 crystal, as listed in Alexandria.

Geometry as POSCAR:
```
CaCoH3
1.0
4.505 -4.288 0.000
4.505 4.288 0.000
-0.627 0.000 4.785
Ca Co H
4 4 12
direct
0.064 0.323 0.251
0.323 0.064 0.751
0.677 0.936 0.249
0.936 0.677 0.749
0.255 0.745 0.250
0.431 0.569 0.750
0.569 0.431 0.250
0.745 0.255 0.750
0.004 0.283 0.776
0.226 0.633 0.542
0.283 0.004 0.276
0.323 0.497 0.052
0.367 0.774 0.958
0.497 0.323 0.552
0.503 0.677 0.448
0.633 0.226 0.042
0.677 0.503 0.948
0.717 0.996 0.724
0.774 0.367 0.458
0.996 0.717 0.224
```

Electronic total energy in eV for the cell shown: -81.8
Space group: C2/c
Volume in Å³ per atom: 9.24

First-principles (PBE) data for a relaxed Nd12SnPd5 crystal, as listed in Alexandria.

Geometry as POSCAR:
```
Nd12SnPd5
1.0
-4.870 5.040 5.336
4.870 -5.040 5.336
4.870 5.040 -5.336
Nd Sn Pd
12 1 5
direct
0.036 0.224 0.812
0.180 0.288 0.468
0.180 0.712 0.892
0.326 0.024 0.699
0.326 0.627 0.301
0.412 0.224 0.188
0.588 0.776 0.812
0.674 0.373 0.699
0.674 0.976 0.301
0.820 0.288 0.108
0.820 0.712 0.532
0.964 0.776 0.188
0.500 0.500 0.000
0.000 0.000 0.000
0.131 0.631 0.500
0.354 0.000 0.354
0.646 0.000 0.646
0.869 0.369 0.500
```

Energy of formation in eV per atom: -0.53
Space group: Immm
Volume in Å³ per atom: 29.11

First-principles (PBE) data for a relaxed TaTl2Cr crystal, as listed in Alexandria.

Geometry as POSCAR:
```
TaTl2Cr
1.0
1.668 -2.588 0.000
1.668 2.588 0.000
0.000 0.000 9.947
Ta Tl Cr
1 2 1
direct
0.000 0.000 0.000
0.000 0.000 0.584
0.500 0.500 0.273
0.500 0.500 0.824
```

Energy above the lowest structure with this stoichiometry in eV/atom: 0.056
Energy of formation in eV per atom: 0.55
Space group: Cmm2
Volume in Å³ per atom: 21.47

First-principles (PBE) data for a relaxed Ac2TmTe4 crystal, as listed in Alexandria.

Geometry as POSCAR:
```
Ac2TmTe4
1.0
2.181 -7.820 0.000
2.181 7.820 0.000
0.000 0.000 15.603
Ac Tm Te
4 2 8
direct
0.132 0.868 0.577
0.132 0.868 0.923
0.868 0.132 0.077
0.868 0.132 0.423
0.369 0.631 0.750
0.631 0.369 0.250
0.010 0.990 0.750
0.212 0.788 0.129
0.212 0.788 0.371
0.500 0.500 0.000
0.500 0.500 0.500
0.788 0.212 0.629
0.788 0.212 0.871
0.990 0.010 0.250
```

Energy above the lowest structure with this stoichiometry in eV/atom: 0.103
Energy relative to the elements, uncorrected in eV per atom: -1.37
Space group: Cmcm
Volume in Å³ per atom: 38.01

First-principles (PBE) data for a relaxed LiSiRh2 crystal, as listed in Alexandria.

Geometry as POSCAR:
```
LiSiRh2
1.0
4.107 0.000 0.000
0.000 4.107 0.000
0.000 0.000 2.916
Li Si Rh
1 1 2
direct
0.000 0.000 0.000
0.500 0.500 0.000
0.000 0.500 0.500
0.500 0.000 0.500
```

Energy relative to the elements, uncorrected in eV per atom: -0.72
Space group: P4/mmm
Volume in Å³ per atom: 12.30

First-principles (PBE) data for a relaxed AcPrAlCu crystal, as listed in Alexandria.

Geometry as POSCAR:
```
AcPrAlCu
1.0
0.000 3.809 3.809
3.809 0.000 3.809
3.809 3.809 0.000
Ac Pr Al Cu
1 1 1 1
direct
0.000 0.000 0.000
0.500 0.500 0.500
0.750 0.750 0.750
0.250 0.250 0.250
```

Energy of formation in eV per atom: -0.14
Space group: F-43m
Volume in Å³ per atom: 27.63

First-principles (PBE) data for a relaxed TmAl3Ge3 crystal, as listed in Alexandria.

Geometry as POSCAR:
```
TmAl3Ge3
1.0
3.601 2.079 6.749
-3.601 2.079 6.749
0.000 -4.158 6.749
Tm Al Ge
2 6 6
direct
0.166 0.166 0.166
0.834 0.834 0.834
0.042 0.377 0.716
0.284 0.958 0.623
0.377 0.716 0.042
0.623 0.284 0.958
0.716 0.042 0.377
0.958 0.623 0.284
0.094 0.745 0.421
0.255 0.579 0.906
0.421 0.094 0.745
0.579 0.906 0.255
0.745 0.421 0.094
0.906 0.255 0.579
```

Energy of formation in eV per atom: -0.27
Space group: R-3
Volume in Å³ per atom: 21.66

First-principles (PBE) data for a relaxed PmPuIn2 crystal, as listed in Alexandria.

Geometry as POSCAR:
```
PmPuIn2
1.0
4.869 0.000 0.000
0.000 4.869 0.000
0.000 0.000 4.622
Pm Pu In
1 1 2
direct
0.000 0.000 0.000
0.500 0.500 0.000
0.000 0.500 0.500
0.500 0.000 0.500
```

Energy of formation in eV per atom: -0.28
Space group: P4/mmm
Volume in Å³ per atom: 27.39

First-principles (PBE) data for a relaxed TbPuHgIr crystal, as listed in Alexandria.

Geometry as POSCAR:
```
TbPuHgIr
1.0
0.000 3.582 3.582
3.582 0.000 3.582
3.582 3.582 0.000
Tb Pu Hg Ir
1 1 1 1
direct
0.000 0.000 0.000
0.500 0.500 0.500
0.750 0.750 0.750
0.250 0.250 0.250
```

Energy of formation in eV per atom: -0.37
Space group: F-43m
Volume in Å³ per atom: 22.98

First-principles (PBE) data for a relaxed NaTeSe2 crystal, as listed in Alexandria.

Geometry as POSCAR:
```
NaTeSe2
1.0
2.169 1.252 6.990
-2.169 1.252 6.990
0.000 -2.505 6.990
Na Te Se
1 1 2
direct
0.000 0.000 0.000
0.170 0.170 0.170
0.576 0.576 0.576
0.766 0.766 0.766
```

Energy relative to the elements, uncorrected in eV per atom: -0.31
Space group: R3m
Volume in Å³ per atom: 28.49

First-principles (PBE) data for a relaxed Y2MnBePt6 crystal, as listed in Alexandria.

Geometry as POSCAR:
```
Y2MnBePt6
1.0
2.814 1.625 6.774
-2.814 1.625 6.774
0.000 -3.250 6.774
Y Mn Be Pt
2 1 1 6
direct
0.208 0.208 0.208
0.792 0.792 0.792
0.500 0.500 0.500
0.000 0.000 0.000
0.240 0.240 0.731
0.240 0.731 0.240
0.269 0.760 0.760
0.731 0.240 0.240
0.760 0.269 0.760
0.760 0.760 0.269
```

Energy of formation in eV per atom: -0.74
Space group: R-3m
Volume in Å³ per atom: 18.58